Entry from Alexandria: an optimized crystal structure of Pr3Cu2Rh7 (PBE-GGA).

Geometry as POSCAR:
```
Pr3Cu2Rh7
1.0
2.694 1.555 8.579
-2.694 1.555 8.579
0.000 -3.111 8.579
Pr Cu Rh
3 2 7
Cartesian
0.000 0.000 0.000 Pr
0.000 0.000 3.603 Pr
0.000 0.000 22.134 Pr
0.000 0.000 8.592 Cu
0.000 0.000 17.145 Cu
-1.358 -0.784 10.671 Rh
0.000 -1.568 15.066 Rh
-1.358 0.784 15.066 Rh
0.000 0.000 12.869 Rh
1.358 -0.784 10.671 Rh
0.000 1.568 10.671 Rh
1.358 0.784 15.066 Rh
```

## Properties
For the final energy, the calculation gives -79.9 eV for the cell shown. As for the space group: No. 166. The energy relative to the elements comes out at -0.490 eV per atom.